# 1
Entry from the Alexandria database: crystalline RbSn2GeB at its relaxed geometry (PBE-GGA).

It has space group P4/mmm (No. 123), with a = 4.933 Å, b = 4.933 Å, c = 5.281 Å, α = 90.00°, β = 90.00° and γ = 90.00°. The distinct sites, in fractional coordinates, are Rb at (0.000, 0.000, 0.000), Sn at (0.000, 0.500, 0.500), Ge at (0.500, 0.500, 0.000) and B at (0.500, 0.500, 0.500).

The theoretical density is 5250 kg/m3. The formation energy is 0.652 eV per atom. The value obtained for the final energy is -17.0 eV for the cell shown.

# 2
Entry from the Alexandria database: crystalline KPmZnBr6 at its relaxed geometry (PBE-GGA).

It has space group P-31c (No. 163), with a = 7.1995 Å, b = 7.1995 Å, c = 14.5949 Å, α = 90.00°, β = 90.00° and γ = 120.00°. The distinct sites, in fractional coordinates, are K at (0.0000, 0.0000, 0.0000), Pm at (0.3333, 0.6667, 0.2500), Zn at (0.3333, 0.6667, 0.7500) and Br at (0.0232, 0.3812, 0.6412).

The calculation puts the formation energy from raw total energies at -1.48 eV/atom. The theoretical density is 3695 kg/m3. The value obtained for the final energy is -61.0 eV for the cell shown.

# 3
Entry from the Alexandria database: crystalline Pu3AsO3 at its relaxed geometry (PBE-GGA).

It has space group R-3 (No. 148, hexagonal axes), with a = 6.7192 Å, b = 6.7192 Å, c = 20.6798 Å, α = 90.00°, β = 90.00° and γ = 120.00°. The distinct sites, in fractional coordinates, are Pu at (0.0022, 0.3486, 0.4037), As at (0.0000, 0.0000, 0.1665) and O at (0.0049, 0.3236, 0.6242).

Its offset from the most stable computed form is 0 meV/atom. The calculation puts the formation energy from raw total energies at -2.43 eV/atom. The theoretical density is 10534 kg/m3. The value obtained for the final energy is -477.1 eV for the cell shown.

# 4
Entry from the Alexandria database: crystalline CdFeCu2 at its relaxed geometry (PBE-GGA).

It has space group R-3m (No. 166, hexagonal axes), with a = 2.7457 Å, b = 2.7457 Å, c = 26.5043 Å, α = 90.00°, β = 90.00° and γ = 120.00°. The distinct sites, in fractional coordinates, are Cd at (0.0000, 0.0000, 0.0000), Fe at (0.0000, 0.0000, 0.5000) and Cu at (0.0000, 0.0000, 0.2426).

The theoretical density is 8502 kg/m3. The formation energy is 0.234 eV per atom. The value obtained for the final energy is -49.9 eV for the cell shown.

# 5
Entry from the Alexandria database: crystalline ReS4 at its relaxed geometry (PBE-GGA).

It has space group Pm-3m (No. 221), with a = 4.596 Å, b = 4.596 Å, c = 4.596 Å, α = 90.00°, β = 90.00° and γ = 90.00°. The distinct sites, in fractional coordinates, are Re at (0.000, 0.000, 0.000), S at (0.000, 0.000, 0.500) and S at (0.500, 0.500, 0.500).

The calculation puts the formation energy from raw total energies at 0.62 eV/atom. The theoretical density is 5378 kg/m3. The value obtained for the final energy is -25.8 eV for the cell shown.

# 6
Entry from the Alexandria database: crystalline Sm12Tl2In5 at its relaxed geometry (PBE-GGA).

It has space group C2/m (No. 12), with a = 18.425 Å, b = 7.075 Å, c = 9.331 Å, α = 90.00°, β = 91.29° and γ = 90.00°. The distinct sites, in fractional coordinates, are Sm at (0.017, 0.000, 0.309), Sm at (0.066, 0.500, 0.209), Sm at (0.150, 0.251, 0.524), Sm at (0.165, 0.251, 0.939), Tl at (0.000, 0.208, 0.000), In at (0.000, 0.500, 0.500), In at (0.208, 0.000, 0.248) and In at (0.235, 0.500, 0.264).

The theoretical density is 7611 kg/m3. The formation energy is -0.159 eV per atom. The value obtained for the final energy is -156.2 eV for the cell shown.

# 7
Entry from the Alexandria database: crystalline Ba2LiZn2Pd at its relaxed geometry (PBE-GGA).

It has space group Ibam (No. 72), with a = 6.634 Å, b = 15.559 Å, c = 6.862 Å, α = 90.00°, β = 90.00° and γ = 90.00°. The distinct sites, in fractional coordinates, are Ba at (0.239, 0.155, 0.000), Li at (0.000, 0.500, 0.250), Zn at (0.243, 0.076, 0.500) and Pd at (0.000, 0.000, 0.250).

The theoretical density is 4865 kg/m3. The formation energy is -0.287 eV per atom. The value obtained for the final energy is -60.9 eV for the cell shown.

# 8
Entry from the Alexandria database: crystalline CaEr2Zr at its relaxed geometry (PBE-GGA).

It has space group R-3m (No. 166, hexagonal axes), with a = 3.4754 Å, b = 3.4754 Å, c = 34.8373 Å, α = 90.00°, β = 90.00° and γ = 120.00°. The distinct sites, in fractional coordinates, are Ca at (0.0000, 0.0000, 0.0000), Er at (0.0000, 0.0000, 0.2411) and Zr at (0.0000, 0.0000, 0.5000).

Its offset from the most stable computed form is 21 meV/atom. The theoretical density is 6368 kg/m3. The formation energy is 0.121 eV per atom. The value obtained for the final energy is -57.6 eV for the cell shown.

# 9
Entry from the Alexandria database: crystalline CdHg2Pb4 at its relaxed geometry (PBE-GGA).

It has space group R-3m (No. 166, hexagonal axes), with a = 5.2758 Å, b = 5.2758 Å, c = 26.4061 Å, α = 90.00°, β = 90.00° and γ = 120.00°. The distinct sites, in fractional coordinates, are Cd at (0.0000, 0.0000, 0.0000), Hg at (0.0000, 0.0000, 0.2443), Pb at (0.0000, 0.0000, 0.1238) and Pb at (0.0000, 0.0000, 0.3755).

Its offset from the most stable computed form is 41 meV/atom. The theoretical density is 10506 kg/m3. The formation energy is 0.070 eV per atom. The value obtained for the final energy is -47.6 eV for the cell shown.

# 10
Entry from the Alexandria database: crystalline InRe3Mo at its relaxed geometry (PBE-GGA).

It has space group Pm-3m (No. 221), with a = 4.734 Å, b = 4.734 Å, c = 4.734 Å, α = 90.00°, β = 90.00° and γ = 90.00°. The distinct sites, in fractional coordinates, are In at (0.000, 0.000, 0.000), Re at (0.000, 0.500, 0.500) and Mo at (0.500, 0.500, 0.500).

Its offset from the most stable computed form is 0 meV/atom. The theoretical density is 12043 kg/m3. The formation energy is 2.057 eV per atom. The value obtained for the final energy is -40.6 eV for the cell shown.

# 11
Entry from the Alexandria database: crystalline TbSm9Er2 at its relaxed geometry (PBE-GGA).

It has space group P4/mmm (No. 123), with a = 5.092 Å, b = 5.092 Å, c = 15.274 Å, α = 90.00°, β = 90.00° and γ = 90.00°. The distinct sites, in fractional coordinates, are Tb at (0.000, 0.000, 0.000), Sm at (0.000, 0.500, 0.167), Sm at (0.000, 0.500, 0.500), Sm at (0.500, 0.500, 0.000), Sm at (0.500, 0.500, 0.334) and Er at (0.000, 0.000, 0.334).

The theoretical density is 7744 kg/m3. The formation energy is 0.018 eV per atom. The value obtained for the final energy is -56.0 eV for the cell shown.

# 12
Entry from the Alexandria database: crystalline SmDyY6 at its relaxed geometry (PBE-GGA).

It has space group P-1 (No. 2), with a = 6.681 Å, b = 6.694 Å, c = 8.085 Å, α = 114.12°, β = 90.30° and γ = 119.62°. The distinct sites, in fractional coordinates, are Sm at (0.000, 0.000, 0.000), Dy at (0.500, 0.000, 0.500), Y at (0.048, 0.800, 0.251), Y at (0.248, 0.799, 0.749) and Y at (0.446, 0.498, 0.250).

The theoretical density is 5075 kg/m3. The formation energy is 0.750 eV per atom. The value obtained for the final energy is -42.1 eV for the cell shown.

The highest final energy belongs to which entry? RbSn2GeB

Among the records above, which one has the lowest theoretical density? KPmZnBr6